1.
# Pr8Pt3Se4S | the Alexandria database | PBE-GGA | optimized geometry
data_Pr8Pt3Se4S
_cell_length_a 8.3912
_cell_length_b 8.3912
_cell_length_c 21.6116
_cell_angle_alpha 90.00
_cell_angle_beta 90.00
_cell_angle_gamma 120.00
_symmetry_space_group_name_H-M 'R -3 m'
_symmetry_Int_Tables_number 166
_symmetry_space_group_name_Hall '-R 3 2"'
loop_
_atom_site_label
_atom_site_type_symbol
_atom_site_fract_x
_atom_site_fract_y
_atom_site_fract_z
Pr1 Pr 0.0000 0.0000 0.2436
Pr2 Pr 0.0010 0.5005 0.7537
Pt1 Pt 0.0000 0.5000 0.5000
Se1 Se 0.0000 0.0000 0.0000
Se2 Se 0.0000 0.5000 0.0000
S1 S 0.0000 0.0000 0.5000
# total energy: -297.41 eV/cell

=====

2.
# RbInSi | the Alexandria database | PBE-GGA | optimized geometry
data_RbInSi
_cell_length_a 11.4196
_cell_length_b 4.9370
_cell_length_c 8.0501
_cell_angle_alpha 90.00
_cell_angle_beta 130.95
_cell_angle_gamma 90.00
_symmetry_space_group_name_H-M 'C 1 2/m 1'
_symmetry_Int_Tables_number 12
loop_
_symmetry_equiv_pos_as_xyz
'x,y,z'
'-x,-y,-z'
'-x,y,-z'
'x,-y,z'
'x+1/2,y+1/2,z'
'-x+1/2,-y+1/2,-z'
'-x+1/2,y+1/2,-z'
'x+1/2,-y+1/2,z'
loop_
_atom_site_label
_atom_site_type_symbol
_atom_site_fract_x
_atom_site_fract_y
_atom_site_fract_z
Rb1 Rb 0.2406 0.0000 0.1519
In1 In 0.0963 0.5000 0.2726
Si1 Si 0.0739 0.0000 0.4384
# total energy: -36.08 eV/cell

=====

3.
# K3NpPa2N6 | the Alexandria database | PBE-GGA | optimized geometry
data_K3NpPa2N6
_cell_length_a 6.2114
_cell_length_b 10.7616
_cell_length_c 6.7370
_cell_angle_alpha 90.00
_cell_angle_beta 107.89
_cell_angle_gamma 90.00
_symmetry_space_group_name_H-M 'C 1 2/m 1'
_symmetry_Int_Tables_number 12
loop_
_symmetry_equiv_pos_as_xyz
'x,y,z'
'-x,-y,-z'
'-x,y,-z'
'x,-y,z'
'x+1/2,y+1/2,z'
'-x+1/2,-y+1/2,-z'
'-x+1/2,y+1/2,-z'
'x+1/2,-y+1/2,z'
loop_
_atom_site_label
_atom_site_type_symbol
_atom_site_fract_x
_atom_site_fract_y
_atom_site_fract_z
K1 K 0.0000 0.0000 0.0000
K2 K 0.0000 0.3357 0.0000
Np1 Np 0.0000 0.5000 0.5000
Pa1 Pa 0.0000 0.1667 0.5000
N1 N 0.2170 0.3359 0.6585
N2 N 0.2248 0.0000 0.6581
# total energy: -195.68 eV/cell

=====

4.
# Er3Zn3Ir2 | the Alexandria database | PBE-GGA | optimized geometry
data_Er3Zn3Ir2
_cell_length_a 7.3457
_cell_length_b 16.1264
_cell_length_c 5.4470
_cell_angle_alpha 90.00
_cell_angle_beta 90.00
_cell_angle_gamma 90.00
_symmetry_space_group_name_H-M 'P n m a'
_symmetry_Int_Tables_number 62
loop_
_symmetry_equiv_pos_as_xyz
'x,y,z'
'-x,-y,-z'
'-x+1/2,-y,z+1/2'
'x+1/2,y,-z+1/2'
'x+1/2,-y+1/2,-z+1/2'
'-x+1/2,y+1/2,z+1/2'
'-x,y+1/2,-z'
'x,-y+1/2,z'
loop_
_atom_site_label
_atom_site_type_symbol
_atom_site_fract_x
_atom_site_fract_y
_atom_site_fract_z
Er1 Er 0.0363 0.1081 0.1121
Er2 Er 0.1658 0.2500 0.6466
Zn1 Zn 0.1737 0.0292 0.5976
Zn2 Zn 0.1755 0.7500 0.6400
Ir1 Ir 0.1212 0.6163 0.3769
# calculated formation energy: -0.616 eV/atom

=====

5.
# Cr3NiMo | the Alexandria database | PBE-GGA | optimized geometry
data_Cr3NiMo
_cell_length_a 4.3865
_cell_length_b 4.3865
_cell_length_c 4.3865
_cell_angle_alpha 90.00
_cell_angle_beta 90.00
_cell_angle_gamma 90.00
_symmetry_space_group_name_H-M 'P m -3 m'
_symmetry_Int_Tables_number 221
_symmetry_space_group_name_Hall '-P 4 2 3'
loop_
_atom_site_label
_atom_site_type_symbol
_atom_site_fract_x
_atom_site_fract_y
_atom_site_fract_z
Cr1 Cr 0.0000 0.0000 0.5000
Ni1 Ni 0.5000 0.5000 0.5000
Mo1 Mo 0.0000 0.0000 0.0000
# energy above the most stable polymorph in this dataset: 448 meV/atom
# calculated formation energy: 1.868 eV/atom

=====

6.
# Nd6Ho4Pu | the Alexandria database | PBE-GGA | optimized geometry
data_Nd6Ho4Pu
_cell_length_a 5.8538
_cell_length_b 9.6758
_cell_length_c 25.8500
_cell_angle_alpha 90.00
_cell_angle_beta 90.00
_cell_angle_gamma 90.00
_symmetry_space_group_name_H-M 'C m c m'
_symmetry_Int_Tables_number 63
_symmetry_space_group_name_Hall '-C 2c 2'
loop_
_atom_site_label
_atom_site_type_symbol
_atom_site_fract_x
_atom_site_fract_y
_atom_site_fract_z
Nd1 Nd 0.0000 0.0000 0.0000
Nd2 Nd 0.0000 0.0389 0.2500
Nd3 Nd 0.0000 0.2998 0.6024
Nd4 Nd 0.0000 0.3751 0.1815
Ho1 Ho 0.0000 0.0434 0.1233
Ho2 Ho 0.0000 0.3488 0.0437
Pu1 Pu 0.0000 0.2975 0.7500
# calculated formation energy: 0.169 eV/atom

=====

7.
# PrHo2S3 | the Alexandria database | PBE-GGA | optimized geometry
data_PrHo2S3
_cell_length_a 3.9364
_cell_length_b 5.6132
_cell_length_c 11.9370
_cell_angle_alpha 90.00
_cell_angle_beta 90.00
_cell_angle_gamma 90.00
_symmetry_space_group_name_H-M 'I m m m'
_symmetry_Int_Tables_number 71
_symmetry_space_group_name_Hall '-I 2 2'
loop_
_atom_site_label
_atom_site_type_symbol
_atom_site_fract_x
_atom_site_fract_y
_atom_site_fract_z
Pr1 Pr 0.0000 0.0000 0.0000
Ho1 Ho 0.0000 0.0000 0.3394
S1 S 0.0000 0.5000 0.0000
S2 S 0.0000 0.5000 0.3211
# total energy: -76.37 eV/cell

=====

8.
# ErUPaO6 | the Alexandria database | PBE-GGA | optimized geometry
data_ErUPaO6
_cell_length_a 5.7500
_cell_length_b 5.7500
_cell_length_c 9.4961
_cell_angle_alpha 90.00
_cell_angle_beta 90.00
_cell_angle_gamma 120.00
_symmetry_space_group_name_H-M 'P -3 1 c'
_symmetry_Int_Tables_number 163
_symmetry_space_group_name_Hall '-P 3 2c'
loop_
_atom_site_label
_atom_site_type_symbol
_atom_site_fract_x
_atom_site_fract_y
_atom_site_fract_z
Er1 Er 0.3333 0.6667 0.2500
U1 U 0.3333 0.6667 0.7500
Pa1 Pa 0.0000 0.0000 0.0000
O1 O 0.0066 0.3313 0.6297
# total energy: -170.85 eV/cell

=====

9.
# DyGaAg2S4 | the Alexandria database | PBE-GGA | optimized geometry
data_DyGaAg2S4
_cell_length_a 7.2869
_cell_length_b 8.1892
_cell_length_c 10.8405
_cell_angle_alpha 90.00
_cell_angle_beta 90.00
_cell_angle_gamma 90.00
_symmetry_space_group_name_H-M 'I m m a'
_symmetry_Int_Tables_number 74
_symmetry_space_group_name_Hall '-I 2b 2'
loop_
_atom_site_label
_atom_site_type_symbol
_atom_site_fract_x
_atom_site_fract_y
_atom_site_fract_z
Dy1 Dy 0.0000 0.0000 0.0000
Ga1 Ga 0.2500 0.2500 0.2500
Ag1 Ag 0.0000 0.0000 0.5000
Ag2 Ag 0.2500 0.2500 0.7500
S1 S 0.0000 0.0477 0.2513
S2 S 0.2484 0.2500 0.9874
# total energy: -143.83 eV/cell

=====

10.
# Tl2AsPt | the Alexandria database | PBE-GGA | optimized geometry
data_Tl2AsPt
_cell_length_a 4.4135
_cell_length_b 3.8844
_cell_length_c 5.8940
_cell_angle_alpha 90.00
_cell_angle_beta 111.48
_cell_angle_gamma 90.00
_symmetry_space_group_name_H-M 'P 1 2/m 1'
_symmetry_Int_Tables_number 10
loop_
_symmetry_equiv_pos_as_xyz
'x,y,z'
'-x,-y,-z'
'-x,y,-z'
'x,-y,z'
loop_
_atom_site_label
_atom_site_type_symbol
_atom_site_fract_x
_atom_site_fract_y
_atom_site_fract_z
Tl1 Tl 0.2291 0.0000 0.2590
As1 As 0.5000 0.5000 0.0000
Pt1 Pt 0.0000 0.5000 0.5000
# energy above the most stable polymorph in this dataset: 404 meV/atom
# calculated formation energy: 0.221 eV/atom

=====

11.
# MnNbGeHI | the Alexandria database | PBE-GGA | optimized geometry
data_MnNbGeHI
_cell_length_a 3.3207
_cell_length_b 4.1161
_cell_length_c 7.8793
_cell_angle_alpha 79.62
_cell_angle_beta 77.86
_cell_angle_gamma 66.24
_symmetry_space_group_name_H-M 'P 1'
_symmetry_Int_Tables_number 1
loop_
_symmetry_equiv_pos_as_xyz
'x,y,z'
loop_
_atom_site_label
_atom_site_type_symbol
_atom_site_fract_x
_atom_site_fract_y
_atom_site_fract_z
Mn1 Mn 0.0000 0.0000 0.0000
Nb1 Nb 0.7693 0.6169 0.8419
Ge1 Ge 0.2459 0.3810 0.1255
H1 H 0.0565 0.0870 0.7935
I1 I 0.4304 0.5967 0.5396
# energy above the most stable polymorph in this dataset: 76 meV/atom

=====

12.
# CaIn2OsO8 | the Alexandria database | PBE-GGA | optimized geometry
data_CaIn2OsO8
_cell_length_a 4.9498
_cell_length_b 6.6551
_cell_length_c 4.9706
_cell_angle_alpha 90.00
_cell_angle_beta 91.41
_cell_angle_gamma 90.00
_symmetry_space_group_name_H-M 'P 1 2/m 1'
_symmetry_Int_Tables_number 10
loop_
_symmetry_equiv_pos_as_xyz
'x,y,z'
'-x,-y,-z'
'-x,y,-z'
'x,-y,z'
loop_
_atom_site_label
_atom_site_type_symbol
_atom_site_fract_x
_atom_site_fract_y
_atom_site_fract_z
Ca1 Ca 0.0000 0.0000 0.0000
In1 In 0.5000 0.2455 0.5000
Os1 Os 0.0000 0.5000 0.0000
O1 O 0.1845 0.3021 0.8193
O2 O 0.2824 0.5000 0.2856
O3 O 0.3075 0.0000 0.3130
# total energy: -75.56 eV/cell

=====

13.
# AlCo2Si | the Alexandria database | PBE-GGA | optimized geometry
data_AlCo2Si
_cell_length_a 2.8584
_cell_length_b 3.8139
_cell_length_c 8.4355
_cell_angle_alpha 90.00
_cell_angle_beta 90.00
_cell_angle_gamma 90.00
_symmetry_space_group_name_H-M 'I m m 2'
_symmetry_Int_Tables_number 44
loop_
_symmetry_equiv_pos_as_xyz
'x,y,z'
'-x,-y,z'
'-x,y,z'
'x,-y,z'
'x+1/2,y+1/2,z+1/2'
'-x+1/2,-y+1/2,z+1/2'
'-x+1/2,y+1/2,z+1/2'
'x+1/2,-y+1/2,z+1/2'
loop_
_atom_site_label
_atom_site_type_symbol
_atom_site_fract_x
_atom_site_fract_y
_atom_site_fract_z
Al1 Al 0.0000 0.0000 0.0000
Co1 Co 0.0000 0.0000 0.5158
Co2 Co 0.0000 0.5000 0.7513
Si1 Si 0.0000 0.5000 0.2314
# total energy: -50.07 eV/cell

=====

14.
# Pu3Cu2Pt7 | the Alexandria database | PBE-GGA | optimized geometry
data_Pu3Cu2Pt7
_cell_length_a 5.4470
_cell_length_b 5.4470
_cell_length_c 25.6154
_cell_angle_alpha 90.00
_cell_angle_beta 90.00
_cell_angle_gamma 120.00
_symmetry_space_group_name_H-M 'R -3 m'
_symmetry_Int_Tables_number 166
_symmetry_space_group_name_Hall '-R 3 2"'
loop_
_atom_site_label
_atom_site_type_symbol
_atom_site_fract_x
_atom_site_fract_y
_atom_site_fract_z
Pu1 Pu 0.0000 0.0000 0.0000
Pu2 Pu 0.0000 0.0000 0.1408
Cu1 Cu 0.0000 0.0000 0.3335
Pt1 Pt 0.0000 0.0000 0.5000
Pt2 Pt 0.0034 0.5017 0.9191
# calculated formation energy: -0.653 eV/atom

=====

15.
# ThNb2Se4Br2 | the Alexandria database | PBE-GGA | optimized geometry
data_ThNb2Se4Br2
_cell_length_a 3.5785
_cell_length_b 3.5785
_cell_length_c 22.3337
_cell_angle_alpha 90.00
_cell_angle_beta 90.00
_cell_angle_gamma 120.00
_symmetry_space_group_name_H-M 'P 3 m 1'
_symmetry_Int_Tables_number 156
loop_
_symmetry_equiv_pos_as_xyz
'x,y,z'
'-y,x-y,z'
'-x+y,-x,z'
'-y,-x,z'
'-x+y,y,z'
'x,x-y,z'
loop_
_atom_site_label
_atom_site_type_symbol
_atom_site_fract_x
_atom_site_fract_y
_atom_site_fract_z
Th1 Th 0.0000 0.0000 0.0000
Nb1 Nb 0.0000 0.0000 0.6452
Nb2 Nb 0.6667 0.3333 0.3357
Se1 Se 0.0000 0.0000 0.2615
Se2 Se 0.0000 0.0000 0.4095
Se3 Se 0.6667 0.3333 0.5714
Se4 Se 0.6667 0.3333 0.7195
Br1 Br 0.6667 0.3333 0.0985
Br2 Br 0.6667 0.3333 0.9014
# total energy: -53.96 eV/cell

=====

16.
# BeZnBi3 | the Alexandria database | PBE-GGA | optimized geometry
data_BeZnBi3
_cell_length_a 5.3798
_cell_length_b 5.3798
_cell_length_c 5.3798
_cell_angle_alpha 90.00
_cell_angle_beta 90.00
_cell_angle_gamma 90.00
_symmetry_space_group_name_H-M 'P m -3 m'
_symmetry_Int_Tables_number 221
_symmetry_space_group_name_Hall '-P 4 2 3'
loop_
_atom_site_label
_atom_site_type_symbol
_atom_site_fract_x
_atom_site_fract_y
_atom_site_fract_z
Be1 Be 0.0000 0.0000 0.0000
Zn1 Zn 0.5000 0.5000 0.5000
Bi1 Bi 0.0000 0.5000 0.5000
# energy above the most stable polymorph in this dataset: 430 meV/atom
# calculated formation energy: 1.000 eV/atom

=====

17.
# CdCu14Ge | the Alexandria database | PBE-GGA | optimized geometry
data_CdCu14Ge
_cell_length_a 7.3454
_cell_length_b 7.4132
_cell_length_c 7.4651
_cell_angle_alpha 90.00
_cell_angle_beta 90.00
_cell_angle_gamma 90.00
_symmetry_space_group_name_H-M 'C m m m'
_symmetry_Int_Tables_number 65
_symmetry_space_group_name_Hall '-C 2 2'
loop_
_atom_site_label
_atom_site_type_symbol
_atom_site_fract_x
_atom_site_fract_y
_atom_site_fract_z
Cd1 Cd 0.0000 0.0000 0.0000
Cu1 Cu 0.0000 0.0000 0.5000
Cu2 Cu 0.0000 0.2526 0.2612
Cu3 Cu 0.0000 0.5000 0.5000
Cu4 Cu 0.2471 0.5000 0.2614
Cu5 Cu 0.2500 0.2500 0.0000
Cu6 Cu 0.2500 0.2500 0.5000
Ge1 Ge 0.0000 0.5000 0.0000
# calculated formation energy: 0.030 eV/atom

=====

18.
# Tc3NiRh | the Alexandria database | PBE-GGA | optimized geometry
data_Tc3NiRh
_cell_length_a 4.3589
_cell_length_b 4.3589
_cell_length_c 4.3589
_cell_angle_alpha 90.00
_cell_angle_beta 90.00
_cell_angle_gamma 90.00
_symmetry_space_group_name_H-M 'P m -3 m'
_symmetry_Int_Tables_number 221
_symmetry_space_group_name_Hall '-P 4 2 3'
loop_
_atom_site_label
_atom_site_type_symbol
_atom_site_fract_x
_atom_site_fract_y
_atom_site_fract_z
Tc1 Tc 0.0000 0.0000 0.5000
Ni1 Ni 0.0000 0.0000 0.0000
Rh1 Rh 0.5000 0.5000 0.5000
# energy above the most stable polymorph in this dataset: 0 meV/atom
# calculated formation energy: 1.452 eV/atom

=====

19.
# LiCeBi3 | the Alexandria database | PBE-GGA | optimized geometry
data_LiCeBi3
_cell_length_a 13.8665
_cell_length_b 6.3573
_cell_length_c 6.5451
_cell_angle_alpha 90.00
_cell_angle_beta 90.00
_cell_angle_gamma 90.00
_symmetry_space_group_name_H-M 'P b c m'
_symmetry_Int_Tables_number 57
loop_
_symmetry_equiv_pos_as_xyz
'x,y,z'
'-x,-y,-z'
'-x,-y,z+1/2'
'x,y,-z+1/2'
'x,-y+1/2,-z'
'-x,y+1/2,z'
'-x,y+1/2,-z+1/2'
'x,-y+1/2,z+1/2'
loop_
_atom_site_label
_atom_site_type_symbol
_atom_site_fract_x
_atom_site_fract_y
_atom_site_fract_z
Li1 Li 0.1093 0.2500 0.0000
Ce1 Ce 0.3149 0.5112 0.2500
Bi1 Bi 0.0771 0.7012 0.2500
Bi2 Bi 0.2575 0.0066 0.2500
Bi3 Bi 0.4973 0.2500 0.0000
# energy above the most stable polymorph in this dataset: 0 meV/atom
# calculated formation energy: -0.488 eV/atom

=====

20.
# Al3NiPb | the Alexandria database | PBE-GGA | optimized geometry
data_Al3NiPb
_cell_length_a 5.3329
_cell_length_b 5.3329
_cell_length_c 5.3329
_cell_angle_alpha 90.00
_cell_angle_beta 90.00
_cell_angle_gamma 90.00
_symmetry_space_group_name_H-M 'P m -3 m'
_symmetry_Int_Tables_number 221
_symmetry_space_group_name_Hall '-P 4 2 3'
loop_
_atom_site_label
_atom_site_type_symbol
_atom_site_fract_x
_atom_site_fract_y
_atom_site_fract_z
Al1 Al 0.0000 0.0000 0.5000
Ni1 Ni 0.5000 0.5000 0.5000
Pb1 Pb 0.0000 0.0000 0.0000
# energy above the most stable polymorph in this dataset: 1454 meV/atom
# calculated formation energy: 1.465 eV/atom

=====

21.
# HoSn4 | the Alexandria database | PBE-GGA | optimized geometry
data_HoSn4
_cell_length_a 5.7167
_cell_length_b 5.7167
_cell_length_c 5.7167
_cell_angle_alpha 90.00
_cell_angle_beta 90.00
_cell_angle_gamma 90.00
_symmetry_space_group_name_H-M 'P m -3 m'
_symmetry_Int_Tables_number 221
_symmetry_space_group_name_Hall '-P 4 2 3'
loop_
_atom_site_label
_atom_site_type_symbol
_atom_site_fract_x
_atom_site_fract_y
_atom_site_fract_z
Ho1 Ho 0.0000 0.0000 0.0000
Sn1 Sn 0.0000 0.0000 0.5000
Sn2 Sn 0.5000 0.5000 0.5000
# energy above the most stable polymorph in this dataset: 782 meV/atom
# calculated formation energy: 0.489 eV/atom

=====

It is found that the M_tot values, taken in the order of the records, are 0.00 0.00 0.17 0.00 0.00 0.60 0.00 0.22 0.00 0.00 0.00 0.00 0.17 1.30 0.14 0.00 0.00 0.00 0.15 0.08 0.00 μB per atom.